{
  "formula": "La4CoAg2",
  "functional": "PBE-GGA",
  "state": "relaxed",
  "total_energy_ry_per_atom": -0.353,
  "density_kg_m3": 6664,
  "n_ef_per_ev_fu": 7.21,
  "cell": [[7.284, -2.372, 0.000], [7.284, 2.372, 0.000], [-1.434, 0.000, 5.987]],
  "species": ["La", "La", "La", "La", "Co", "Ag", "Ag"],
  "frac_coords": [[0.077, 0.077, 0.266], [0.361, 0.361, 0.197], [0.639, 0.639, 0.803], [0.923, 0.923, 0.734], [0.500, 0.500, 0.000], [0.269, 0.269, 0.654], [0.731, 0.731, 0.346]]
}